CsHoInSe3: relaxed, GGA-PBE.

Unit cell a=4.4510 b=16.0860 c=11.5430 alpha=90.00 beta=90.00 gamma=90.00
With the nearest neighbours (Å) after each atom.
Space group Cmcm (No. 63)
Symmetry-distinct sites (fractional):
Cs: 0.0000 0.2416 0.2500 (multiplicity 4)  8 Se 3.72-4.05, 2 In 4.13
Ho: 0.0000 0.5000 0.0000 (multiplicity 4)  6 Se 2.94-3.02
In: 0.0000 0.0424 0.7500 (multiplicity 4)  4 Se 2.73-2.80
Se: 0.0000 0.1177 0.5316 (multiplicity 8)  1 In 2.80, 2 Ho 2.94
Se: 0.0000 0.4440 0.7500 (multiplicity 4)  2 In 2.73, 2 Ho 3.02

Results
total magnetization	0.21	Bohr magnetons per cell
calculated volume	34.436	Å³ per atom
calculated density	5.2	g cm⁻³
energy	-4.27	eV per atom

ScZnFePd: relaxed, GGA-PBE.

Unit cell a=6.3234 b=6.3234 c=6.3234 alpha=90.00 beta=90.00 gamma=90.00
With the nearest neighbours (Å) after each atom.
Space group F-43m (No. 216)
Symmetry-distinct sites (fractional):
Sc: 0.0000 0.0000 0.0000 (multiplicity 4)  4 Pd 2.74, 4 Zn 2.74
Zn: 0.2500 0.2500 0.2500 (multiplicity 4)  4 Fe 2.74, 4 Sc 2.74
Fe: 0.0000 0.0000 0.5000 (multiplicity 4)  4 Zn 2.74, 4 Pd 2.74
Pd: 0.2500 0.2500 0.7500 (multiplicity 4)  4 Fe 2.74, 4 Sc 2.74

Results
E_form	-0.23	eV/atom
total magnetization	11.18	Bohr magnetons per cell
calculated volume	15.803	Å³ per atom
calculated density	7.2	g cm⁻³
excess energy over the best structure of this formula in the dataset	6.1	kJ per mole of atoms

DySb: relaxed, GGA-PBE.

Unit cell a=3.7928 b=3.7928 c=3.7928 alpha=90.00 beta=90.00 gamma=90.00
With the nearest neighbours (Å) after each atom.
Space group Pm-3m (No. 221)
Symmetry-distinct sites (fractional):
Dy: 0.0000 0.0000 0.0000 (multiplicity 1)  8 Sb 3.28
Sb: 0.5000 0.5000 0.5000 (multiplicity 1)  8 Dy 3.28

Results
total magnetization	0.01	Bohr magnetons per cell
calculated volume	27.281	Å³ per atom
calculated density	8.7	g cm⁻³
energy	-5.16	eV per atom

B4IrOs: relaxed, GGA-PBE.

Unit cell a=3.0117 b=5.3133 c=6.7057 alpha=90.00 beta=90.00 gamma=90.00
With the nearest neighbours (Å) after each atom.
Space group Immm (No. 71)
Symmetry-distinct sites (fractional):
B: 0.0000 0.1668 0.2484 (multiplicity 8)  3 B 1.75-1.77
Ir: 0.0000 0.5000 0.0000 (multiplicity 2)  12 B 2.43
Os: 0.0000 0.5000 0.5000 (multiplicity 2)  12 B 2.41-2.45

Results
total magnetization	0.03	Bohr magnetons per cell
calculated volume	8.942	Å³ per atom
calculated density	13.2	g cm⁻³
excess energy over the best structure of this formula in the dataset	0.5	kJ per mole of atoms

Rb2UPt3S6: relaxed, GGA-PBE.

Unit cell a=9.8150 b=14.6587 c=16.9910 alpha=90.00 beta=90.00 gamma=90.00
With the nearest neighbours (Å) after each atom.
Space group Fmmm (No. 69)
Symmetry-distinct sites (fractional):
Rb: 0.0000 0.1917 0.0000 (multiplicity 8)  10 S 3.63-3.86
Rb: 0.2500 0.2500 0.2500 (multiplicity 8)  8 S 3.31
U: 0.0000 0.0000 0.3323 (multiplicity 8)  6 S 2.71-2.74
Pt: 0.1650 0.0000 0.1613 (multiplicity 16)  4 S 2.38
Pt: 0.1696 0.0000 0.5000 (multiplicity 8)  4 S 2.37
S: 0.0000 0.1092 0.2014 (multiplicity 16)  2 Pt 2.38
S: 0.1901 0.1102 0.3988 (multiplicity 32)  2 Pt 2.37-2.38

Results
total magnetization	16.01	Bohr magnetons per cell
calculated volume	25.464	Å³ per atom
calculated density	6.4	g cm⁻³
energy	-5.63	eV per atom

UPtAu: relaxed, GGA-PBE.

Unit cell a=6.5367 b=6.5367 c=6.5367 alpha=90.00 beta=90.00 gamma=90.00
With the nearest neighbours (Å) after each atom.
Space group F-43m (No. 216)
Symmetry-distinct sites (fractional):
U: 0.0000 0.0000 0.0000 (multiplicity 4)  4 Pt 2.83
Pt: 0.2500 0.2500 0.7500 (multiplicity 4)  4 U 2.83, 4 Au 2.83
Au: 0.0000 0.0000 0.5000 (multiplicity 4)  4 Pt 2.83

Results
E_form	-0.28	eV/atom
total magnetization	10.66	Bohr magnetons per cell
calculated volume	23.275	Å³ per atom
calculated density	15.0	g cm⁻³
excess energy over the best structure of this formula in the dataset	0.0	kJ per mole of atoms

HfTaMo2: relaxed, GGA-PBE.

Unit cell a=6.5320 b=6.5320 c=6.5320 alpha=90.00 beta=90.00 gamma=90.00
With the nearest neighbours (Å) after each atom.
Space group F-43m (No. 216)
Symmetry-distinct sites (fractional):
Hf: 0.0000 0.0000 0.0000 (multiplicity 4)  4 Mo 2.83, 4 Ta 2.83
Ta: 0.2500 0.2500 0.7500 (multiplicity 4)  4 Hf 2.83, 4 Mo 2.83
Mo: 0.0000 0.0000 0.5000 (multiplicity 4)  4 Ta 2.83, 4 Mo 2.83
Mo: 0.2500 0.2500 0.2500 (multiplicity 4)  4 Mo 2.83, 4 Hf 2.83

Results
E_form	0.02	eV/atom
total magnetization	0.01	Bohr magnetons per cell
calculated volume	17.419	Å³ per atom
calculated density	13.1	g cm⁻³

MgReO4: relaxed, GGA-PBE.

Unit cell a=4.6334 b=4.9909 c=5.6167 alpha=90.12 beta=90.61 gamma=91.40
With the nearest neighbours (Å) after each atom.
Space group P-1 (No. 2)
Symmetry-distinct sites (fractional):
Mg: 0.9997 0.2488 0.3318 (multiplicity 2)  6 O 2.06-2.11
Re: 0.4974 0.7502 0.1746 (multiplicity 2)  4 O 1.82-1.93
O: 0.2331 0.6046 0.3773 (multiplicity 2)  1 Re 1.82
O: 0.2380 0.1031 0.6176 (multiplicity 2)  1 Re 1.82
O: 0.2819 0.0640 0.1007 (multiplicity 2)  2 Re 1.92-2.07, 1 Mg 2.08
O: 0.2848 0.5647 0.8942 (multiplicity 2)  2 Re 1.93-2.06, 1 Mg 2.06

Results
total magnetization	0.79	Bohr magnetons per cell
calculated volume	10.820	Å³ per atom
calculated density	7.0	g cm⁻³
energy	-7.54	eV per atom

GdDySi4Os2: relaxed, GGA-PBE.

Unit cell a=4.4300 b=4.0970 c=8.1534 alpha=90.00 beta=101.87 gamma=90.00
With the nearest neighbours (Å) after each atom.
Space group Pm (No. 6)
Symmetry-distinct sites (fractional):
Gd: 0.0000 0.0000 0.0000 (multiplicity 1)  9 Si 2.92-3.26, 2 Os 3.23
Dy: 0.1791 0.5000 0.4050 (multiplicity 1)  8 Si 2.91-3.18, 2 Os 3.22
Si: 0.2518 0.0000 0.6954 (multiplicity 1)  4 Os 2.35-2.41, 2 Si 2.52
Si: 0.5513 0.5000 0.1120 (multiplicity 1)  1 Os 2.36, 2 Si 2.50
Si: 0.6252 0.0000 0.2911 (multiplicity 1)  1 Os 2.35, 2 Si 2.50
Si: 0.9240 0.5000 0.7066 (multiplicity 1)  4 Os 2.36-2.41, 2 Si 2.52
Os: 0.4722 0.5000 0.8168 (multiplicity 1)  5 Si 2.36-2.41
Os: 0.7032 0.0000 0.5854 (multiplicity 1)  5 Si 2.35-2.41

Results
total magnetization	0.01	Bohr magnetons per cell
calculated volume	18.102	Å³ per atom
calculated density	9.3	g cm⁻³
energy	-7.42	eV per atom

YPa2N4: relaxed, GGA-PBE.

Unit cell a=7.3707 b=7.3707 c=7.0332 alpha=90.00 beta=90.00 gamma=90.00
With the nearest neighbours (Å) after each atom.
Space group I-42d (No. 122)
Symmetry-distinct sites (fractional):
Y: 0.0000 0.0000 0.0000 (multiplicity 4)  8 N 2.43-2.67
Pa: 0.1419 0.2500 0.6250 (multiplicity 8)  4 N 2.28-2.36
N: 0.0629 0.1829 0.3202 (multiplicity 16)  2 Pa 2.28-2.36, 1 Y 2.43

Results
total magnetization	0.25	Bohr magnetons per cell
calculated volume	13.646	Å³ per atom
calculated density	10.6	g cm⁻³
energy	-9.91	eV per atom

TbYI2O2: relaxed, GGA-PBE.

Unit cell a=3.9385 b=3.9385 c=9.1072 alpha=90.00 beta=90.00 gamma=90.00
With the nearest neighbours (Å) after each atom.
Space group P4mm (No. 99)
Symmetry-distinct sites (fractional):
Tb: 0.0000 0.0000 0.0000 (multiplicity 1)  4 O 2.26
Y: 0.5000 0.5000 0.2425 (multiplicity 1)  4 O 2.26
I: 0.0000 0.0000 0.4496 (multiplicity 1)  4 Y 3.36, 4 O 3.58
I: 0.5000 0.5000 0.7929 (multiplicity 1)  4 Tb 3.36, 4 O 3.58
O: 0.0000 0.5000 0.1217 (multiplicity 2)  2 Y 2.26, 2 Tb 2.26

Results
total magnetization	0.00	Bohr magnetons per cell
calculated volume	23.544	Å³ per atom
calculated density	6.3	g cm⁻³
energy	-6.72	eV per atom

DyScAl2Ir4: relaxed, GGA-PBE.

Unit cell a=4.2520 b=4.2520 c=8.9609 alpha=90.00 beta=90.00 gamma=120.00
With the nearest neighbours (Å) after each atom.
Space group P-6m2 (No. 187)
Symmetry-distinct sites (fractional):
Dy: 0.0000 0.0000 0.0000 (multiplicity 1)  8 Ir 2.92-3.16
Sc: 0.3333 0.6667 0.5000 (multiplicity 1)  8 Ir 2.79-2.89
Al: 0.6667 0.3333 0.2658 (multiplicity 2)  6 Ir 2.57-2.58
Ir: 0.0000 0.0000 0.3522 (multiplicity 2)  3 Al 2.57, 1 Ir 2.65, 3 Sc 2.79
Ir: 0.3333 0.6667 0.1774 (multiplicity 2)  3 Al 2.58

Results
total magnetization	0.00	Bohr magnetons per cell
calculated volume	17.538	Å³ per atom
calculated density	12.2	g cm⁻³
energy	-7.47	eV per atom